No. 1
Computed, not measured: an optimized crystal structure of Mg5CuPd6 at the PBE level of DFT.

Values from the calculation:
DFT total energy ... -0.31247 Ry per atom
Spin magnetization ... 0.000 μB per atom
Space-group type ... C2/m

a b c (Å): 4.5466 7.8090 7.8090
angles (deg): 122.07 106.82 106.82
Element x y z (fractional)
Mg (0.5000, 0.1663, 0.8337)
Mg (0.0000, 0.3338, 0.6662)
Mg (0.5000, 0.5000, 0.5000)
Mg (0.0000, 0.6662, 0.3338)
Mg (0.5000, 0.8337, 0.1663)
Pd (0.2466, 0.0821, 0.4118)
Pd (0.7534, 0.5882, 0.9179)
Pd (0.7453, 0.2448, 0.2448)
Pd (0.2547, 0.7552, 0.7552)
Pd (0.2466, 0.4118, 0.0821)
Pd (0.7534, 0.9179, 0.5882)
Cu (0.0000, 0.0000, 0.0000)


No. 2
Computed, not measured: an optimized crystal structure of Ag2RuBr at the PBE level of DFT.

Values from the calculation:
DFT total energy ... -0.24733 Ry per atom
E_form (uncorrected) ... 798 meV/atom
Spin magnetization ... 0.331 μB per atom
Space-group type ... I4/mmm

a b c (Å): 5.6011 5.6011 5.6011
angles (deg): 139.01 139.01 59.36
Site moments in Bohr magnetons follow the coordinates.
Element x y z (fractional)
Ru (0.7500, 0.2500, 0.5000)  1.25
Br (0.2500, 0.7500, 0.5000)  0.02
Ag (0.0000, 0.0000, 0.0000)  0.00
Ag (0.5000, 0.5000, 0.0000)  0.00


No. 3
Computed, not measured: an optimized crystal structure of CaLa6Nd5 at the PBE level of DFT.

Values from the calculation:
DFT total energy ... -0.33738 Ry per atom
Spin magnetization ... 0.000 μB per atom
Space-group type ... Immm

a b c (Å): 5.2842 9.8632 9.8632
angles (deg): 106.61 105.54 105.54
Element x y z (fractional)
Ca (0.0000, 0.0000, 0.0000)
Nd (0.5000, 0.1714, 0.8286)
Nd (0.0000, 0.3330, 0.6670)
Nd (0.5000, 0.5000, 0.5000)
Nd (0.0000, 0.6670, 0.3330)
Nd (0.5000, 0.8286, 0.1714)
La (0.2529, 0.0833, 0.4222)
La (0.7471, 0.5778, 0.9167)
La (0.7583, 0.2580, 0.2580)
La (0.2417, 0.7420, 0.7420)
La (0.2529, 0.4222, 0.0833)
La (0.7471, 0.9167, 0.5778)


No. 4
Computed, not measured: an optimized crystal structure of Pu3SiGe6Pd2 at the PBE level of DFT.

Values from the calculation:
DFT total energy ... -0.54437 Ry per atom
E_form (uncorrected) ... -197 meV/atom
Spin magnetization ... 0.415 μB per atom
Space-group type ... P-3m1

a b c (Å): 5.5430 5.5430 9.1022
angles (deg): 90.00 90.00 120.00
Site moments in Bohr magnetons follow the coordinates.
Element x y z (fractional)
Pu (0.3333, 0.6667, 0.5819)  5.25
Pu (0.6667, 0.3333, 0.4181)  5.25
Pu (0.0000, 0.0000, 0.0000)  -5.23
Si (0.0000, 0.0000, 0.5000)  -0.05
Ge (0.6566, 0.8283, 0.2728)  -0.04
Ge (0.1717, 0.3434, 0.2728)  -0.04
Ge (0.1717, 0.8283, 0.2728)  -0.04
Ge (0.8283, 0.6566, 0.7272)  -0.04
Ge (0.3434, 0.1717, 0.7272)  -0.04
Ge (0.8283, 0.1717, 0.7272)  -0.04
Pd (0.6667, 0.3333, 0.9620)  -0.05
Pd (0.3333, 0.6667, 0.0380)  -0.05


No. 5
Computed, not measured: an optimized crystal structure of CsAlTe2I at the PBE level of DFT.

Values from the calculation:
DFT total energy ... -0.21918 Ry per atom
E_form (uncorrected) ... -496 meV/atom
Spin magnetization ... 0.000 μB per atom
Space-group type ... P4/mmm

a b c (Å): 5.4534 5.4534 6.2760
angles (deg): 90.00 90.00 90.00
Element x y z (fractional)
Cs (0.5000, 0.5000, 0.5000)
I (0.0000, 0.0000, 0.5000)
Te (0.0000, 0.5000, 0.0000)
Te (0.5000, 0.0000, 0.0000)
Al (0.0000, 0.0000, 0.0000)


No. 6
Computed, not measured: an optimized crystal structure of YMg2Pd at the PBE level of DFT.

Values from the calculation:
DFT total energy ... -0.30016 Ry per atom
Spin magnetization ... 0.055 μB per atom
Space-group type ... P4/mmm

a b c (Å): 3.3518 3.3518 7.7108
angles (deg): 90.00 90.00 90.00
Site moments in Bohr magnetons follow the coordinates.
Element x y z (fractional)
Y (0.5000, 0.5000, 0.5000)  0.12
Mg (0.0000, 0.0000, 0.8103)  0.00
Mg (0.0000, 0.0000, 0.1897)  0.00
Pd (0.5000, 0.5000, 0.0000)  0.00


No. 7
Computed, not measured: an optimized crystal structure of Be2GaTcBr at the PBE level of DFT.

Values from the calculation:
DFT total energy ... -0.26791 Ry per atom
E_form (uncorrected) ... 859 meV/atom
Spin magnetization ... 0.000 μB per atom
Space-group type ... P4/mmm

a b c (Å): 4.4339 4.9487 4.4339
angles (deg): 90.00 90.00 90.00
Element x y z (fractional)
Be (0.0000, 0.0000, 0.5000)
Be (0.5000, 0.0000, 0.0000)
Ga (0.5000, 0.5000, 0.5000)
Tc (0.0000, 0.0000, 0.0000)
Br (0.0000, 0.5000, 0.0000)


No. 8
Computed, not measured: an optimized crystal structure of Pm2TmPt at the PBE level of DFT.

Values from the calculation:
DFT total energy ... -0.41681 Ry per atom
Spin magnetization ... 0.000 μB per atom
Space-group type ... Pnma

a b c (Å): 6.5401 7.0993 9.8978
angles (deg): 90.00 90.00 90.00
Element x y z (fractional)
Pm (0.1784, 0.6837, 0.0607)
Pm (0.3216, 0.1837, 0.4393)
Pm (0.8216, 0.3163, 0.5607)
Pm (0.6784, 0.8163, 0.9393)
Pm (0.8216, 0.3163, 0.9393)
Pm (0.6784, 0.8163, 0.5607)
Pm (0.1784, 0.6837, 0.4393)
Pm (0.3216, 0.1837, 0.0607)
Tm (0.6421, 0.5322, 0.2500)
Tm (0.8579, 0.0322, 0.2500)
Tm (0.3579, 0.4678, 0.7500)
Tm (0.1421, 0.9678, 0.7500)
Pt (0.0431, 0.3869, 0.2500)
Pt (0.4569, 0.8869, 0.2500)
Pt (0.9569, 0.6131, 0.7500)
Pt (0.5431, 0.1131, 0.7500)


No. 9
Computed, not measured: an optimized crystal structure of Ce at the PBE level of DFT.

Values from the calculation:
DFT total energy ... -0.43258 Ry per atom
Spin magnetization ... 0.000 μB per atom
Space-group type ... P6_3/mmc

a b c (Å): 3.3377 3.3377 10.9655
angles (deg): 90.00 90.00 120.00
Element x y z (fractional)
Ce (0.0000, 0.0000, 0.0000)
Ce (0.3333, 0.6667, 0.2500)
Ce (0.0000, 0.0000, 0.5000)
Ce (0.6667, 0.3333, 0.7500)


No. 10
Computed, not measured: an optimized crystal structure of Th4P2IrSe at the PBE level of DFT.

Values from the calculation:
DFT total energy ... -0.58762 Ry per atom
E_form (uncorrected) ... -1389 meV/atom
Spin magnetization ... 0.000 μB per atom
Space-group type ... P2/m

a b c (Å): 4.0869 7.3031 7.2971
angles (deg): 70.74 90.00 90.00
Element x y z (fractional)
Th (0.0000, 0.7453, 0.7635)
Th (0.0000, 0.2547, 0.2365)
Th (0.5000, 0.7630, 0.2393)
Th (0.5000, 0.2370, 0.7607)
P (0.0000, 0.0000, 0.0000)
P (0.5000, 0.0000, 0.5000)
Ir (0.5000, 0.5000, 0.0000)
Se (0.0000, 0.5000, 0.5000)


No. 11
Computed, not measured: an optimized crystal structure of DyYMgCd at the PBE level of DFT.

Values from the calculation:
DFT total energy ... -0.26535 Ry per atom
Spin magnetization ... 0.000 μB per atom
Space-group type ... F-43m

a b c (Å): 5.3272 5.3272 5.3272
angles (deg): 60.00 60.00 60.00
Element x y z (fractional)
Y (0.7500, 0.7500, 0.7500)
Mg (0.5000, 0.5000, 0.5000)
Cd (0.0000, 0.0000, 0.0000)
Dy (0.2500, 0.2500, 0.2500)


No. 12
Computed, not measured: an optimized crystal structure of Na3GaI at the PBE level of DFT.

Values from the calculation:
DFT total energy ... -0.13263 Ry per atom
E_form (uncorrected) ... -98 meV/atom
Spin magnetization ... 0.000 μB per atom
Space-group type ... Pm-3m

a b c (Å): 5.9192 5.9192 5.9192
angles (deg): 90.00 90.00 90.00
Element x y z (fractional)
I (0.0000, 0.0000, 0.0000)
Na (0.0000, 0.5000, 0.0000)
Na (0.0000, 0.0000, 0.5000)
Na (0.5000, 0.0000, 0.0000)
Ga (0.5000, 0.5000, 0.5000)


No. 13
Computed, not measured: an optimized crystal structure of CdSnPb2 at the PBE level of DFT.

Values from the calculation:
DFT total energy ... -0.22220 Ry per atom
Spin magnetization ... 0.000 μB per atom
Space-group type ... Fm-3m

a b c (Å): 5.4689 5.4689 5.4689
angles (deg): 60.00 60.00 60.00
Element x y z (fractional)
Pb (0.2500, 0.2500, 0.2500)
Pb (0.7500, 0.7500, 0.7500)
Sn (0.5000, 0.5000, 0.5000)
Cd (0.0000, 0.0000, 0.0000)


No. 14
Computed, not measured: an optimized crystal structure of Nd2Gd at the PBE level of DFT.

Values from the calculation:
DFT total energy ... -0.57133 Ry per atom
Spin magnetization ... 2.644 μB per atom
Space-group type ... I4/mmm

a b c (Å): 4.2742 4.2742 6.4207
angles (deg): 109.44 109.44 89.99
Site moments in Bohr magnetons follow the coordinates.
Element x y z (fractional)
Gd (0.5000, 0.5000, 0.0000)  7.26
Nd (0.1614, 0.1614, 0.3234)  0.09
Nd (0.8386, 0.8386, 0.6766)  0.09


No. 15
Computed, not measured: an optimized crystal structure of USi2Os5W at the PBE level of DFT.

Values from the calculation:
DFT total energy ... -0.68350 Ry per atom
E_form (uncorrected) ... 838 meV/atom
Spin magnetization ... 0.349 μB per atom
Space-group type ... P4/mmm

a b c (Å): 3.9628 3.9628 11.8608
angles (deg): 90.00 90.00 90.00
Site moments in Bohr magnetons follow the coordinates.
Element x y z (fractional)
U (0.5000, 0.5000, 0.5000)  -0.10
Si (0.0000, 0.0000, 0.2083)  -0.02
Si (0.0000, 0.0000, 0.7917)  -0.02
Os (0.0000, 0.0000, 0.5000)  -0.05
Os (0.0000, 0.5000, 0.6713)  -0.02
Os (0.5000, 0.0000, 0.3287)  -0.02
Os (0.0000, 0.5000, 0.3287)  -0.02
Os (0.5000, 0.0000, 0.6713)  -0.02
W (0.0000, 0.0000, 0.0000)  2.45


No. 16
Computed, not measured: an optimized crystal structure of Li2MgPb3 at the PBE level of DFT.

Values from the calculation:
DFT total energy ... -0.21774 Ry per atom
Spin magnetization ... 0.000 μB per atom
Space-group type ... P4/mmm

a b c (Å): 3.6081 3.6081 10.9993
angles (deg): 90.00 90.00 90.00
Element x y z (fractional)
Li (0.5000, 0.5000, 0.8444)
Li (0.5000, 0.5000, 0.1556)
Mg (0.5000, 0.5000, 0.5000)
Pb (0.0000, 0.0000, 0.0000)
Pb (0.0000, 0.0000, 0.6778)
Pb (0.0000, 0.0000, 0.3222)


No. 17
Computed, not measured: an optimized crystal structure of LaY3Ru at the PBE level of DFT.

Values from the calculation:
DFT total energy ... -0.50636 Ry per atom
Spin magnetization ... 0.000 μB per atom
Space-group type ... P1

a b c (Å): 7.0601 6.4380 7.2715
angles (deg): 95.22 90.16 112.19
Element x y z (fractional)
Y (0.8286, 0.3744, 0.7547)
Y (0.2954, 0.3101, 0.9125)
Y (0.9395, 0.3520, 0.2630)
Y (0.2809, 0.8557, 0.1824)
Y (0.7529, 0.8063, 0.0608)
Y (0.3988, 0.8437, 0.7115)
Ru (0.5889, 0.1637, 0.0284)
Ru (0.6429, 0.0114, 0.4189)
La (0.4661, 0.4064, 0.3994)
La (0.9240, 0.9110, 0.5596)


No. 18
Computed, not measured: an optimized crystal structure of PrPu4S5 at the PBE level of DFT.

Values from the calculation:
DFT total energy ... -0.74175 Ry per atom
E_form (uncorrected) ... -1818 meV/atom
Spin magnetization ... 2.247 μB per atom
Space-group type ... C2/m

a b c (Å): 3.9898 6.9133 8.9235
angles (deg): 75.04 77.08 73.23
Site moments in Bohr magnetons follow the coordinates.
Element x y z (fractional)
Pr (0.0000, 0.0000, 0.0000)  0.04
Pu (0.5979, 0.2014, 0.6028)  5.36
Pu (0.2023, 0.3944, 0.2010)  5.33
Pu (0.7977, 0.6056, 0.7990)  5.33
Pu (0.4021, 0.7986, 0.3972)  5.36
S (0.2039, 0.9004, 0.6918)  -0.11
S (0.7961, 0.0996, 0.3082)  -0.11
S (0.3943, 0.3154, 0.8960)  -0.08
S (0.0000, 0.5000, 0.5000)  -0.13
S (0.6057, 0.6846, 0.1040)  -0.08


No. 19
Computed, not measured: an optimized crystal structure of SmLuSiPd at the PBE level of DFT.

Values from the calculation:
DFT total energy ... -0.41609 Ry per atom
E_form (uncorrected) ... -697 meV/atom
Spin magnetization ... 0.000 μB per atom
Space-group type ... F-43m

a b c (Å): 4.9842 4.9842 4.9842
angles (deg): 60.00 60.00 60.00
Element x y z (fractional)
Si (0.7500, 0.7500, 0.7500)
Lu (0.0000, 0.0000, 0.0000)
Pd (0.2500, 0.2500, 0.2500)
Sm (0.5000, 0.5000, 0.5000)